# LaNiP2

A relaxed LaNiP2 crystal (GGA-PBEsol, the Alexandria database).

Magnetic moment = 0.0 Bohr magnetons per cell
Final energy = -6.632 eV per atom

Cell: 3.9632 3.9632 15.0672 Å, 90.00 90.00 120.00°
Space group R-3m (No. 166, hexagonal axes)
Asymmetric unit:
La  0.0000  0.0000  0.0000
Ni  0.0000  0.0000  0.5000
P  0.0000  0.0000  0.2075